BaLa2I8 | PBE | relaxed

Cell: 9.9924 14.5869 6.3840 Å, 90.00 104.10 90.00°
With the nearest neighbours (Å) after each atom.
Space group C2/m (No. 12)
Symmetry-distinct sites (fractional):
Ba (0.0000, 0.0000, 0.0000) (multiplicity 2)  4 I 3.55-3.72
La (0.0000, 0.3176, 0.5000) (multiplicity 4)  8 I 3.30-3.37
I (0.0000, 0.2437, 0.0000) (multiplicity 4)  2 La 3.37, 1 Ba 3.55
I (0.1178, 0.5000, 0.8034) (multiplicity 4)  2 La 3.33, 1 Ba 3.72
I (0.1934, 0.1314, 0.5821) (multiplicity 8)  2 La 3.30-3.32

Summary:
As for the density of states at the Fermi level: 0.000 states/eV/atom. The calculation puts the total energy at -3.717 eV per atom.

---

BaLaI5 | PBE | relaxed

Cell: 6.4940 8.0678 11.6566 Å, 88.67 73.84 85.32°
With the nearest neighbours (Å) after each atom.
Space group P1 (No. 1)
Symmetry-distinct sites (fractional):
Ba (0.0000, 0.0000, 0.0000) (multiplicity 1)  8 I 3.60-3.77
Ba (0.3467, 0.4995, 0.3026) (multiplicity 1)  8 I 3.60-3.76
La (0.6375, 0.5435, 0.8083) (multiplicity 1)  8 I 3.26-3.55
La (0.7945, 0.0440, 0.4943) (multiplicity 1)  8 I 3.26-3.55
I (0.0048, 0.6944, 0.5814) (multiplicity 1)  2 La 3.30-3.31, 1 Ba 3.69
I (0.0671, 0.5653, 0.9101) (multiplicity 1)  2 La 3.34-3.55, 1 Ba 3.64
I (0.3254, 0.0658, 0.3925) (multiplicity 1)  2 La 3.34-3.55, 1 Ba 3.63
I (0.4409, 0.8993, 0.7230) (multiplicity 1)  2 La 3.26-3.29
I (0.4895, 0.7825, 0.0493) (multiplicity 1)  1 La 3.31, 2 Ba 3.65-3.68
I (0.4985, 0.2734, 0.0250) (multiplicity 1)  1 La 3.28, 1 Ba 3.60
I (0.5124, 0.3995, 0.5796) (multiplicity 1)  2 La 3.26-3.29
I (0.8720, 0.7747, 0.2775) (multiplicity 1)  1 La 3.28, 1 Ba 3.60
I (0.8869, 0.2837, 0.2532) (multiplicity 1)  1 La 3.32, 2 Ba 3.65-3.69
I (0.9353, 0.1944, 0.7211) (multiplicity 1)  2 La 3.30-3.31

Summary:
As for the density of states at the Fermi level: 0.000 states/eV/atom. The calculation puts the total energy at -3.683 eV per atom.

---

BaLaI5 | PBE | relaxed

Cell: 8.2358 16.1094 11.7723 Å, 90.00 109.18 90.00°
With the nearest neighbours (Å) after each atom.
Space group P2_1/c (No. 14)
Symmetry-distinct sites (fractional):
Ba (0.0445, 0.0230, 0.2615) (multiplicity 4)  7 I 3.44-3.77
La (0.3896, 0.2413, 0.6068) (multiplicity 4)  6 I 3.08-3.25
I (0.0471, 0.1262, 0.5432) (multiplicity 4)  1 La 3.25, 1 Ba 3.57
I (0.1473, 0.1050, 0.9926) (multiplicity 4)  1 La 3.19, 1 Ba 3.55
I (0.2784, 0.6621, 0.3713) (multiplicity 4)  1 La 3.08, 1 Ba 3.44
I (0.3906, 0.1696, 0.3524) (multiplicity 4)  2 La 3.21-3.23, 1 Ba 3.58
I (0.4098, 0.5875, 0.7619) (multiplicity 4)  1 La 3.10

Summary:
As for the density of states at the Fermi level: 0.000 states/eV/atom. The calculation puts the total energy at -3.666 eV per atom.